*a*
LiHO2: relaxed, GGA-PBE.

abc: 3.528 3.528 5.336
angles: 70.69 70.69 90.00
Fractional coordinates of all 8 atoms:
H (0.500, 0.500, 0.000)
H (0.250, 0.750, 0.500)
O (0.450, 0.125, 0.250)
O (0.300, 0.625, 0.250)
O (0.375, 0.550, 0.750)
O (0.875, 0.700, 0.750)
Li (0.000, 0.000, 0.000)
Li (0.750, 0.250, 0.500)

Results
Magnetization in μB/f.u.: 0.000
ρ in g cm⁻³: 2.259
V in Å³ per atom: 7.3
N(E_F) in states/eV/f.u.: 0.28



*b*
LiHO2: relaxed, GGA-PBE.

abc: 3.410 3.410 3.410
angles: 60.00 60.00 60.00
Fractional coordinates of all 4 atoms:
H (0.000, 0.000, 0.000)
O (0.250, 0.250, 0.250)
O (0.750, 0.750, 0.750)
Li (0.500, 0.500, 0.500)

Results
Magnetization in μB/f.u.: 2.000
ρ in g cm⁻³: 2.365
V in Å³ per atom: 7.0
N(E_F) in states/eV/f.u.: 0.86



Most stable one: *a*, least stable one: *b*.



*a*
LiH3O: relaxed, GGA-PBE.

abc: 3.162 3.162 3.162
angles: 90.00 90.00 90.00
Fractional coordinates of all 5 atoms:
H (0.000, 0.500, 0.000)
H (0.000, 0.000, 0.500)
H (0.500, 0.000, 0.000)
O (0.500, 0.500, 0.500)
Li (0.000, 0.000, 0.000)

Results
Magnetization in μB/f.u.: 0.001
ρ in g cm⁻³: 1.364
V in Å³ per atom: 6.3
N(E_F) in states/eV/f.u.: 2.39



*b*
LiH3O: relaxed, GGA-PBE.

abc: 3.249 3.249 3.249
angles: 90.00 90.00 90.00
Fractional coordinates of all 5 atoms:
H (0.000, 0.500, 0.000)
H (0.000, 0.000, 0.500)
H (0.500, 0.000, 0.000)
O (0.000, 0.000, 0.000)
Li (0.500, 0.500, 0.500)

Results
Magnetization in μB/f.u.: 0.000
ρ in g cm⁻³: 1.257
V in Å³ per atom: 6.9
N(E_F) in states/eV/f.u.: 0.94



*c*
LiH3O: relaxed, GGA-PBE.

abc: 5.392 3.993 3.993
angles: 78.69 63.25 116.75
Fractional coordinates of all 5 atoms:
Li (0.535, 0.000, 0.000)
H (0.975, 0.726, 0.000)
H (0.975, 0.000, 0.274)
H (0.249, 0.274, 0.726)
O (0.142, 0.000, 0.000)

Results
Magnetization in μB/f.u.: 0.000
ρ in g cm⁻³: 0.726
V in Å³ per atom: 11.9
N(E_F) in states/eV/f.u.: 1.17



Most stable one: *c*, least stable one: *a*.



*a*
LiH2O2: relaxed, GGA-PBE.

abc: 3.108 3.108 7.935
angles: 90.00 90.00 90.00
Fractional coordinates of all 5 atoms:
Li (0.500, 0.500, 0.000)
H (0.500, 0.500, 0.341)
H (0.500, 0.500, 0.659)
O (0.500, 0.500, 0.219)
O (0.500, 0.500, 0.781)

Results
Magnetization in μB/f.u.: 1.000
ρ in g cm⁻³: 0.887
V in Å³ per atom: 15.3
N(E_F) in states/eV/f.u.: 2.60



*b*
LiH2O2: relaxed, GGA-PBE.

abc: 2.440 2.440 6.665
angles: 79.45 79.45 60.00
Fractional coordinates of all 5 atoms:
Li (0.000, 0.000, 0.000)
H (0.246, 0.246, 0.261)
H (0.754, 0.754, 0.739)
O (0.592, 0.592, 0.223)
O (0.408, 0.408, 0.777)

Results
Magnetization in μB/f.u.: 0.000
ρ in g cm⁻³: 2.025
V in Å³ per atom: 6.7
N(E_F) in states/eV/f.u.: 0.49



Most stable one: *a*, least stable one: *b*.



*a*
LiH2O: relaxed, GGA-PBE.

abc: 4.430 4.430 4.430
angles: 82.41 82.41 82.41
Fractional coordinates of all 12 atoms:
Li (0.306, 0.306, 0.306)
Li (0.694, 0.694, 0.694)
Li (0.000, 0.000, 0.000)
H (0.500, 0.192, 0.808)
H (0.808, 0.500, 0.192)
H (0.192, 0.808, 0.500)
H (0.500, 0.808, 0.192)
H (0.808, 0.192, 0.500)
H (0.192, 0.500, 0.808)
O (0.000, 0.000, 0.500)
O (0.000, 0.500, 0.000)
O (0.500, 0.000, 0.000)

Results
Magnetization in μB/f.u.: 0.000
ρ in g cm⁻³: 1.465
V in Å³ per atom: 7.1
N(E_F) in states/eV/f.u.: 0.33



*b*
LiH2O: relaxed, GGA-PBE.

abc: 3.146 3.146 3.146
angles: 60.00 60.00 60.00
Fractional coordinates of all 4 atoms:
H (0.250, 0.250, 0.250)
H (0.750, 0.750, 0.750)
O (0.500, 0.500, 0.500)
Li (0.000, 0.000, 0.000)

Results
Magnetization in μB/f.u.: 0.000
ρ in g cm⁻³: 1.882
V in Å³ per atom: 5.5
N(E_F) in states/eV/f.u.: 1.13



Most stable one: *a*, least stable one: *b*.



*a*
LiH2O: relaxed, GGA-PBE.

abc: 2.495 2.495 7.699
angles: 80.68 80.68 60.00
Fractional coordinates of all 4 atoms:
H (0.153, 0.153, 0.540)
H (0.847, 0.847, 0.460)
O (0.500, 0.500, 0.500)
Li (0.000, 0.000, 0.000)

Results
Magnetization in μB/f.u.: 0.207
ρ in g cm⁻³: 1.017
V in Å³ per atom: 10.2
N(E_F) in states/eV/f.u.: 0.45



*b*
LiH2O: relaxed, GGA-PBE.

abc: 2.913 2.913 6.239
angles: 76.50 76.50 90.00
Fractional coordinates of all 8 atoms:
H (0.875, 0.125, 0.250)
H (0.875, 0.625, 0.250)
H (0.375, 0.125, 0.750)
H (0.875, 0.125, 0.750)
O (0.000, 0.000, 0.000)
O (0.750, 0.250, 0.500)
Li (0.500, 0.500, 0.000)
Li (0.250, 0.750, 0.500)

Results
Magnetization in μB/f.u.: 0.000
ρ in g cm⁻³: 1.659
V in Å³ per atom: 6.2
N(E_F) in states/eV/f.u.: 0.01



Most stable one: *b*, least stable one: *a*.



*a*
LiPH2O4: relaxed, GGA-PBE.

abc: 6.410 6.926 7.708
angles: 90.00 90.00 90.00
Fractional coordinates of all 32 atoms:
H (0.006, 0.440, 0.384)
H (0.994, 0.940, 0.616)
H (0.506, 0.440, 0.116)
H (0.494, 0.940, 0.884)
H (0.533, 0.612, 0.361)
H (0.468, 0.112, 0.639)
H (0.033, 0.612, 0.139)
H (0.968, 0.112, 0.861)
Li (0.515, 0.499, 0.776)
Li (0.485, 0.000, 0.224)
Li (0.015, 0.499, 0.724)
Li (0.985, 0.000, 0.276)
O (0.724, 0.148, 0.318)
O (0.276, 0.648, 0.682)
O (0.224, 0.148, 0.182)
O (0.776, 0.648, 0.818)
O (0.571, 0.302, 0.596)
O (0.429, 0.802, 0.404)
O (0.071, 0.302, 0.904)
O (0.929, 0.802, 0.096)
O (0.920, 0.407, 0.490)
O (0.080, 0.907, 0.510)
O (0.420, 0.407, 0.010)
O (0.580, 0.907, 0.990)
O (0.599, 0.488, 0.308)
O (0.401, 0.988, 0.692)
O (0.099, 0.488, 0.192)
O (0.901, 0.988, 0.808)
P (0.696, 0.325, 0.430)
P (0.304, 0.825, 0.570)
P (0.196, 0.325, 0.070)
P (0.804, 0.825, 0.930)

Results
Magnetization in μB/f.u.: 0.000
ρ in g cm⁻³: 2.017
V in Å³ per atom: 10.7
N(E_F) in states/eV/f.u.: 0.00



*b*
LiPH2O4: relaxed, GGA-PBE.

abc: 4.026 4.879 4.879
angles: 93.58 65.63 65.63
Fractional coordinates of all 8 atoms:
Li (0.000, 0.000, 0.000)
P (0.500, 0.500, 0.500)
H (0.187, 0.313, 0.313)
H (0.813, 0.687, 0.687)
O (0.441, 0.214, 0.412)
O (0.067, 0.786, 0.588)
O (0.933, 0.412, 0.214)
O (0.559, 0.588, 0.786)

Results
Magnetization in μB/f.u.: 0.000
ρ in g cm⁻³: 2.261
V in Å³ per atom: 9.5
N(E_F) in states/eV/f.u.: 0.00



Most stable one: *a*, least stable one: *b*.